# 1
Entry from Alexandria via LeMat-Bulk: an optimized crystal structure of SrCoSb2 (PBE-GGA).

Computed properties:
E_form (uncorrected) ... 0.1040 eV per atom
Total DFT energy (no corrections) ... -4.154 eV/atom
Magnetic moment ... 1.6 μB/f.u.
Fermi-level density of states ... 8.7 states/eV/cell

abc: 4.4641 4.4641 10.0219
angles: 90.00 90.00 90.00
Last column: nearest neighbours and their distance in Å.
Positions (direct):
1 Sr 0.0000 0.0000 0.0000  8 Sb 3.16-3.36, 4 Co 3.36
2 Sr 0.5000 0.5000 0.5000  8 Sb 3.16-3.36, 4 Co 3.36
3 Co 0.0000 0.5000 0.7500  8 Sb 3.16-3.36, 4 Sr 3.36
4 Co 0.5000 0.0000 0.2500  8 Sb 3.16-3.36, 4 Sr 3.36
5 Sb 0.0000 0.0000 0.5000  4 Sr 3.16, 4 Sb 3.36, 4 Co 3.36
6 Sb 0.0000 0.5000 0.2500  4 Co 3.16, 4 Sb 3.36, 4 Sr 3.36
7 Sb 0.5000 0.0000 0.7500  4 Co 3.16, 4 Sb 3.36, 4 Sr 3.36
8 Sb 0.5000 0.5000 0.0000  4 Sr 3.16, 4 Sb 3.36, 4 Co 3.36



# 2
Entry from Alexandria via LeMat-Bulk: an optimized crystal structure of CaRe (PBE-GGA).

Computed properties:
Relative energy among the computed polymorphs ... 448 meV/atom
Total DFT energy (no corrections) ... -6.475 eV/atom
Calculated formation energy ... 750 meV/atom
Magnetic moment ... 0.0 μB/f.u.
Fermi-level density of states ... 3.2 states/eV/cell

abc: 3.1171 3.1171 10.3449
angles: 90.00 90.00 120.00
Last column: nearest neighbours and their distance in Å.
Positions (direct):
1 Ca 0.3333 0.6667 0.1651  3 Re 3.11, 6 Ca 3.12
2 Ca 0.6667 0.3333 0.8349  3 Re 3.11, 6 Ca 3.12
3 Re 0.3333 0.6667 0.5893  3 Re 2.58
4 Re 0.6667 0.3333 0.4107  3 Re 2.58



# 3
Entry from Alexandria via LeMat-Bulk: an optimized crystal structure of SiAgPt5 (PBE-GGA).

Computed properties:
E_form (uncorrected) ... -0.2870 eV per atom
Total DFT energy (no corrections) ... -5.784 eV/atom
Magnetic moment ... 0.0 μB/f.u.
Fermi-level density of states ... 6.7 states/eV/cell

abc: 3.9656 3.9656 7.1230
angles: 90.00 90.00 90.00
Last column: nearest neighbours and their distance in Å.
Positions (direct):
1 Si 0.0000 0.0000 0.0000  8 Pt 2.46
2 Ag 0.5000 0.5000 0.5000  12 Pt 2.80-2.89
3 Pt 0.0000 0.0000 0.5000  4 Ag 2.80, 8 Pt 2.89
4 Pt 0.0000 0.5000 0.2045  2 Si 2.46
5 Pt 0.0000 0.5000 0.7955  2 Si 2.46
6 Pt 0.5000 0.0000 0.2045  2 Si 2.46
7 Pt 0.5000 0.0000 0.7955  2 Si 2.46



# 4
Entry from Alexandria via LeMat-Bulk: an optimized crystal structure of ErZrInAu (PBE-GGA).

Computed properties:
Total DFT energy (no corrections) ... -5.199 eV/atom
Calculated formation energy ... -418 meV/atom
Magnetic moment ... 1.0 μB/f.u.
Fermi-level density of states ... 8.9 states/eV/cell

abc: 7.1545 7.1545 7.1545
angles: 90.00 90.00 90.00
Last column: nearest neighbours and their distance in Å.
Positions (direct):
1 Er 0.0000 0.0000 0.0000  4 In 3.10, 4 Au 3.10
2 Er 0.0000 0.5000 0.5000  4 In 3.10, 4 Au 3.10
3 Er 0.5000 0.0000 0.5000  4 In 3.10, 4 Au 3.10
4 Er 0.5000 0.5000 0.0000  4 In 3.10, 4 Au 3.10
5 Zr 0.0000 0.0000 0.5000  4 In 3.10, 4 Au 3.10
6 Zr 0.0000 0.5000 0.0000  4 In 3.10, 4 Au 3.10
7 Zr 0.5000 0.0000 0.0000  4 In 3.10, 4 Au 3.10
8 Zr 0.5000 0.5000 0.5000  4 In 3.10, 4 Au 3.10
9 In 0.2500 0.2500 0.7500  4 Zr 3.10, 4 Er 3.10
10 In 0.2500 0.7500 0.2500  4 Zr 3.10, 4 Er 3.10
11 In 0.7500 0.2500 0.2500  4 Zr 3.10, 4 Er 3.10
12 In 0.7500 0.7500 0.7500  4 Zr 3.10, 4 Er 3.10
13 Au 0.2500 0.2500 0.2500  4 Zr 3.10, 4 Er 3.10
14 Au 0.2500 0.7500 0.7500  4 Zr 3.10, 4 Er 3.10
15 Au 0.7500 0.2500 0.7500  4 Zr 3.10, 4 Er 3.10
16 Au 0.7500 0.7500 0.2500  4 Zr 3.10, 4 Er 3.10



# 5
Entry from Alexandria via LeMat-Bulk: an optimized crystal structure of KPb2Cl (PBE-GGA).

Computed properties:
Relative energy among the computed polymorphs ... 350 meV/atom
E_form (uncorrected) ... -0.3576 eV per atom
Total DFT energy (no corrections) ... -2.948 eV/atom
Magnetic moment ... 0.0 μB/f.u.
Fermi-level density of states ... 1.8 states/eV/cell

abc: 3.4933 6.0190 6.6644
angles: 90.00 90.00 90.00
Last column: nearest neighbours and their distance in Å.
Positions (direct):
1 K 0.0000 0.0000 0.0000  2 Cl 3.01
2 Pb 0.5000 0.2474 0.5000  2 Pb 2.98-3.04
3 Pb 0.5000 0.7526 0.5000  2 Pb 2.98-3.04
4 Cl 0.0000 0.5000 0.0000  2 K 3.01



# 6
Entry from Alexandria via LeMat-Bulk: an optimized crystal structure of PrCu12Pd6 (PBE-GGA).

Computed properties:
Total DFT energy (no corrections) ... -4.415 eV/atom
Calculated formation energy ... 64 meV/atom
Magnetic moment ... 0.0 μB/f.u.
Fermi-level density of states ... 11.0 states/eV/cell

abc: 6.9105 6.9105 6.9105
angles: 103.74 103.74 103.74
Last column: nearest neighbours and their distance in Å.
Positions (direct):
1 Pr 0.0000 0.0000 0.0000  6 Cu 2.96
2 Cu 0.1073 0.5000 0.8927  3 Cu 2.33-2.56, 4 Pd 2.50-2.60
3 Cu 0.1073 0.8927 0.5000  3 Cu 2.33-2.56, 4 Pd 2.50-2.60
4 Cu 0.1152 0.3722 0.3722  4 Pd 2.55-2.69, 4 Cu 2.56-2.79
5 Cu 0.3722 0.1152 0.3722  4 Pd 2.55-2.69, 4 Cu 2.56-2.79
6 Cu 0.3722 0.3722 0.1152  4 Pd 2.55-2.69, 4 Cu 2.56-2.79
7 Cu 0.5000 0.1073 0.8927  3 Cu 2.33-2.56, 4 Pd 2.50-2.60
8 Cu 0.5000 0.8927 0.1073  3 Cu 2.33-2.56, 4 Pd 2.50-2.60
9 Cu 0.6278 0.6278 0.8848  4 Pd 2.55-2.69, 4 Cu 2.56-2.79
10 Cu 0.6278 0.8848 0.6278  4 Pd 2.55-2.69, 4 Cu 2.56-2.79
11 Cu 0.8848 0.6278 0.6278  4 Pd 2.55-2.69, 4 Cu 2.56-2.79
12 Cu 0.8927 0.1073 0.5000  3 Cu 2.33-2.56, 4 Pd 2.50-2.60
13 Cu 0.8927 0.5000 0.1073  3 Cu 2.33-2.56, 4 Pd 2.50-2.60
14 Pd 0.2908 0.2908 0.6992  8 Cu 2.50-2.69
15 Pd 0.2908 0.6992 0.2908  8 Cu 2.50-2.69
16 Pd 0.3008 0.7092 0.7092  8 Cu 2.50-2.69
17 Pd 0.6992 0.2908 0.2908  8 Cu 2.50-2.69
18 Pd 0.7092 0.3008 0.7092  8 Cu 2.50-2.69
19 Pd 0.7092 0.7092 0.3008  8 Cu 2.50-2.69



# 7
Entry from Alexandria via LeMat-Bulk: an optimized crystal structure of YMnCd (PBE-GGA).

Computed properties:
Total DFT energy (no corrections) ... -5.237 eV/atom
Calculated formation energy ... 280 meV/atom
Magnetic moment ... 3.1 μB/f.u.
Fermi-level density of states ... 3.1 states/eV/cell

abc: 3.3613 3.3613 7.1079
angles: 90.00 90.00 120.00
Last column: nearest neighbours and their distance in Å.
Positions (direct):
1 Y 0.0000 0.0000 0.0000  3 Mn 3.01, 3 Cd 3.30, 6 Y 3.36
2 Mn 0.3333 0.6667 0.6759  3 Cd 2.89, 3 Y 3.01
3 Cd 0.6667 0.3333 0.3756  3 Mn 2.89



# 8
Entry from Alexandria via LeMat-Bulk: an optimized crystal structure of Cu2Ir (PBE-GGA).

Computed properties:
Relative energy among the computed polymorphs ... 17 meV/atom
Total DFT energy (no corrections) ... -5.615 eV/atom
Calculated formation energy ... 69 meV/atom
Magnetic moment ... 0.0 μB/f.u.
Fermi-level density of states ... 3.3 states/eV/cell

abc: 2.6693 2.6693 6.3599
angles: 90.00 90.00 120.00
Last column: nearest neighbours and their distance in Å.
Positions (direct):
1 Cu 0.3333 0.6667 0.1592  9 Cu 2.55-2.67, 3 Ir 2.66
2 Cu 0.6667 0.3333 0.8408  9 Cu 2.55-2.67, 3 Ir 2.66
3 Ir 0.0000 0.0000 0.5000  6 Cu 2.66, 6 Ir 2.67



# 9
Entry from Alexandria via LeMat-Bulk: an optimized crystal structure of SeI3Cl (PBE-GGA).

Computed properties:
Relative energy among the computed polymorphs ... 827 meV/atom
E_form (uncorrected) ... 0.7298 eV per atom
Total DFT energy (no corrections) ... -1.266 eV/atom
Magnetic moment ... 2.8 μB/f.u.
Fermi-level density of states ... 4.5 states/eV/cell

abc: 5.7799 5.7799 5.7799
angles: 90.00 90.00 90.00
Last column: nearest neighbours and their distance in Å.
Positions (direct):
1 Se 0.0000 0.0000 0.0000  12 I 4.09
2 I 0.0000 0.5000 0.5000  2 Cl 2.89
3 I 0.5000 0.0000 0.5000  2 Cl 2.89
4 I 0.5000 0.5000 0.0000  2 Cl 2.89
5 Cl 0.5000 0.5000 0.5000  6 I 2.89



# 10
Entry from Alexandria via LeMat-Bulk: an optimized crystal structure of PuSn6Pd6 (PBE-GGA).

Computed properties:
Total DFT energy (no corrections) ... -5.840 eV/atom
Calculated formation energy ... -493 meV/atom
Magnetic moment ... 5.8 μB/f.u.
Fermi-level density of states ... 19.8 states/eV/cell

abc: 5.7680 5.7680 8.9906
angles: 90.00 90.00 120.00
Last column: nearest neighbours and their distance in Å.
Positions (direct):
1 Pu 0.0000 0.0000 0.0000  8 Sn 3.06-3.33
2 Sn 0.0000 0.0000 0.3399  1 Sn 2.88, 6 Pd 3.00, 1 Pu 3.06
3 Sn 0.0000 0.0000 0.6601  1 Sn 2.88, 6 Pd 3.00, 1 Pu 3.06
4 Sn 0.3333 0.6667 0.0000  6 Pd 2.80
5 Sn 0.3333 0.6667 0.5000  6 Pd 2.80
6 Sn 0.6667 0.3333 0.0000  6 Pd 2.80
7 Sn 0.6667 0.3333 0.5000  6 Pd 2.80
8 Pd 0.0000 0.5000 0.2500  6 Sn 2.80-3.00, 4 Pd 2.88
9 Pd 0.0000 0.5000 0.7500  6 Sn 2.80-3.00, 4 Pd 2.88
10 Pd 0.5000 0.0000 0.2500  6 Sn 2.80-3.00, 4 Pd 2.88
11 Pd 0.5000 0.0000 0.7500  6 Sn 2.80-3.00, 4 Pd 2.88
12 Pd 0.5000 0.5000 0.2500  6 Sn 2.80-3.00, 4 Pd 2.88
13 Pd 0.5000 0.5000 0.7500  6 Sn 2.80-3.00, 4 Pd 2.88



# 11
Entry from Alexandria via LeMat-Bulk: an optimized crystal structure of AcLaIn (PBE-GGA).

Computed properties:
Relative energy among the computed polymorphs ... 134 meV/atom
Total DFT energy (no corrections) ... -4.067 eV/atom
Calculated formation energy ... -142 meV/atom
Magnetic moment ... 0.0 μB/f.u.
Fermi-level density of states ... 17.5 states/eV/cell

abc: 7.8329 7.8329 7.8329
angles: 90.00 90.00 90.00
Last column: nearest neighbours and their distance in Å.
Positions (direct):
1 Ac 0.0000 0.0000 0.0000  4 In 3.39
2 Ac 0.0000 0.5000 0.5000  4 In 3.39
3 Ac 0.5000 0.0000 0.5000  4 In 3.39
4 Ac 0.5000 0.5000 0.0000  4 In 3.39
5 La 0.0000 0.0000 0.5000  4 In 3.39
6 La 0.0000 0.5000 0.0000  4 In 3.39
7 La 0.5000 0.0000 0.0000  4 In 3.39
8 La 0.5000 0.5000 0.5000  4 In 3.39
9 In 0.2500 0.2500 0.2500  4 Ac 3.39, 4 La 3.39
10 In 0.2500 0.7500 0.7500  4 Ac 3.39, 4 La 3.39
11 In 0.7500 0.2500 0.7500  4 Ac 3.39, 4 La 3.39
12 In 0.7500 0.7500 0.2500  4 Ac 3.39, 4 La 3.39



# 12
Entry from Alexandria via LeMat-Bulk: an optimized crystal structure of Cd4AsRu (PBE-GGA).

Computed properties:
Total DFT energy (no corrections) ... -2.437 eV/atom
Calculated formation energy ... 494 meV/atom
Magnetic moment ... 0.0 μB/f.u.
Fermi-level density of states ... 2.6 states/eV/cell

abc: 5.5506 5.5506 5.5506
angles: 60.00 60.00 60.00
Last column: nearest neighbours and their distance in Å.
Positions (direct):
1 Cd 0.1244 0.1244 0.1244  6 Cd 2.76-2.79
2 Cd 0.1244 0.1244 0.6268  6 Cd 2.76-2.79
3 Cd 0.1244 0.6268 0.1244  6 Cd 2.76-2.79
4 Cd 0.6268 0.1244 0.1244  6 Cd 2.76-2.79
5 As 0.5000 0.5000 0.5000  12 Cd 3.26, 4 Ru 3.40
6 Ru 0.7500 0.7500 0.7500  12 Cd 3.25, 4 As 3.40